Below is a relaxed Zr2TaTiB crystal, with properties calculated at the PBE level.

**Space group**: P4/mmm
**E_form**: 8.86 eV per formula unit

The structure in CIF format:
```
data_Zr2TaTiB
_chemical_formula_sum 'Zr2 Ta1 Ti1 B1'
_symmetry_space_group_name_H-M 'P 1'
_symmetry_Int_Tables_number 1
_cell_length_a 4.876
_cell_length_b 4.567
_cell_length_c 4.876
_cell_angle_alpha 90.00
_cell_angle_beta 90.00
_cell_angle_gamma 90.00
loop_
_symmetry_equiv_pos_as_xyz
'x,y,z'
loop_
_atom_site_label
_atom_site_type_symbol
_atom_site_fract_x
_atom_site_fract_y
_atom_site_fract_z
_atom_site_occupancy
B1 B 0.500 0.500 0.500 1
Ti1 Ti 0.000 0.000 0.000 1
Zr1 Zr 0.000 0.000 0.500 1
Zr2 Zr 0.500 0.000 0.000 1
Ta1 Ta 0.000 0.500 0.000 1
```

***

Below is a relaxed TaTiRu2 crystal, with properties calculated at the PBE level.

**Space group**: P4/mmm
**E_form**: -2.19 eV per formula unit
**Energy relative to the lowest polymorph listed for this composition**: 0.004 eV per atom

The structure in CIF format:
```
data_TaTiRu2
_chemical_formula_sum 'Ta1 Ti1 Ru2'
_symmetry_space_group_name_H-M 'P 1'
_symmetry_Int_Tables_number 1
_cell_length_a 3.085
_cell_length_b 3.085
_cell_length_c 6.431
_cell_angle_alpha 90.00
_cell_angle_beta 90.00
_cell_angle_gamma 90.00
loop_
_symmetry_equiv_pos_as_xyz
'x,y,z'
loop_
_atom_site_label
_atom_site_type_symbol
_atom_site_fract_x
_atom_site_fract_y
_atom_site_fract_z
_atom_site_occupancy
Ru1 Ru 0.000 0.000 0.760 1
Ru2 Ru 0.000 0.000 0.240 1
Ti1 Ti 0.500 0.500 0.000 1
Ta1 Ta 0.500 0.500 0.500 1
```

***

Below is a relaxed Tb5Y2Er6 crystal, with properties calculated at the PBE level.

**Space group**: Pbam
**E_form**: 1.26 eV per formula unit

The structure in CIF format:
```
data_Tb5Y2Er6
_chemical_formula_sum 'Tb10 Y4 Er12'
_symmetry_space_group_name_H-M 'P 1'
_symmetry_Int_Tables_number 1
_cell_length_a 3.553
_cell_length_b 11.601
_cell_length_c 20.133
_cell_angle_alpha 90.00
_cell_angle_beta 90.00
_cell_angle_gamma 90.00
loop_
_symmetry_equiv_pos_as_xyz
'x,y,z'
loop_
_atom_site_label
_atom_site_type_symbol
_atom_site_fract_x
_atom_site_fract_y
_atom_site_fract_z
_atom_site_occupancy
Tb1 Tb 0.500 0.301 0.450 1
Tb2 Tb 0.500 0.699 0.550 1
Tb3 Tb 0.500 0.801 0.050 1
Tb4 Tb 0.500 0.199 0.950 1
Tb5 Tb 0.500 0.592 0.274 1
Tb6 Tb 0.500 0.408 0.726 1
Tb7 Tb 0.500 0.092 0.226 1
Tb8 Tb 0.500 0.908 0.774 1
Tb9 Tb 0.500 0.500 0.000 1
Tb10 Tb 0.500 0.000 0.500 1
Y1 Y 0.000 0.333 0.289 1
Y2 Y 0.000 0.667 0.711 1
Y3 Y 0.000 0.833 0.211 1
Y4 Y 0.000 0.167 0.789 1
Er1 Er 0.000 0.081 0.368 1
Er2 Er 0.000 0.919 0.632 1
Er3 Er 0.000 0.581 0.132 1
Er4 Er 0.000 0.419 0.868 1
Er5 Er 0.500 0.326 0.134 1
Er6 Er 0.500 0.674 0.866 1
Er7 Er 0.500 0.826 0.366 1
Er8 Er 0.500 0.174 0.634 1
Er9 Er 0.000 0.559 0.420 1
Er10 Er 0.000 0.441 0.580 1
Er11 Er 0.000 0.059 0.080 1
Er12 Er 0.000 0.941 0.920 1
```

***

Below is a relaxed La5CdCu4 crystal, with properties calculated at the PBE level.

**Space group**: P4/mmm
**E_form**: -1.71 eV per formula unit

The structure in CIF format:
```
data_La5CdCu4
_chemical_formula_sum 'La5 Cd1 Cu4'
_symmetry_space_group_name_H-M 'P 1'
_symmetry_Int_Tables_number 1
_cell_length_a 3.662
_cell_length_b 3.662
_cell_length_c 19.075
_cell_angle_alpha 90.00
_cell_angle_beta 90.00
_cell_angle_gamma 90.00
loop_
_symmetry_equiv_pos_as_xyz
'x,y,z'
loop_
_atom_site_label
_atom_site_type_symbol
_atom_site_fract_x
_atom_site_fract_y
_atom_site_fract_z
_atom_site_occupancy
La1 La 0.500 0.500 0.118 1
La2 La 0.500 0.500 0.307 1
La3 La 0.500 0.500 0.500 1
La4 La 0.500 0.500 0.693 1
La5 La 0.500 0.500 0.882 1
Cd1 Cd 0.000 0.000 0.000 1
Cu1 Cu 0.000 0.000 0.212 1
Cu2 Cu 0.000 0.000 0.404 1
Cu3 Cu 0.000 0.000 0.596 1
Cu4 Cu 0.000 0.000 0.788 1
```

***

Below is a relaxed SrPr8Tl6 crystal, with properties calculated at the PBE level.

**Space group**: R-3
**E_form**: -2.65 eV per formula unit

The structure in CIF format:
```
data_SrPr8Tl6
_chemical_formula_sum 'Sr1 Pr8 Tl6'
_symmetry_space_group_name_H-M 'P 1'
_symmetry_Int_Tables_number 1
_cell_length_a 9.603
_cell_length_b 9.603
_cell_length_c 8.623
_cell_angle_alpha 56.16
_cell_angle_beta 56.16
_cell_angle_gamma 60.00
loop_
_symmetry_equiv_pos_as_xyz
'x,y,z'
loop_
_atom_site_label
_atom_site_type_symbol
_atom_site_fract_x
_atom_site_fract_y
_atom_site_fract_z
_atom_site_occupancy
Sr1 Sr 0.000 0.000 0.000 1
Pr1 Pr 0.556 0.223 0.329 1
Pr2 Pr 0.777 0.108 0.671 1
Pr3 Pr 0.108 0.444 0.671 1
Pr4 Pr 0.665 0.665 0.004 1
Pr5 Pr 0.335 0.335 0.996 1
Pr6 Pr 0.892 0.556 0.329 1
Pr7 Pr 0.223 0.892 0.329 1
Pr8 Pr 0.444 0.777 0.671 1
Tl1 Tl 0.397 0.060 0.820 1
Tl2 Tl 0.940 0.278 0.180 1
Tl3 Tl 0.278 0.603 0.180 1
Tl4 Tl 0.722 0.397 0.820 1
Tl5 Tl 0.060 0.722 0.820 1
Tl6 Tl 0.603 0.940 0.180 1
```

***

Below is a relaxed LaPrUN3 crystal, with properties calculated at the PBE level.

**Space group**: P2_1/m
**Formation energy without anion corrections**: -1.033 eV/atom

The structure in CIF format:
```
data_LaPrUN3
_chemical_formula_sum 'La2 Pr2 U2 N6'
_symmetry_space_group_name_H-M 'P 1'
_symmetry_Int_Tables_number 1
_cell_length_a 3.735
_cell_length_b 7.627
_cell_length_c 8.750
_cell_angle_alpha 96.42
_cell_angle_beta 90.00
_cell_angle_gamma 90.00
loop_
_symmetry_equiv_pos_as_xyz
'x,y,z'
loop_
_atom_site_label
_atom_site_type_symbol
_atom_site_fract_x
_atom_site_fract_y
_atom_site_fract_z
_atom_site_occupancy
La1 La 0.750 0.838 0.867 1
La2 La 0.250 0.162 0.133 1
Pr1 Pr 0.250 0.617 0.160 1
Pr2 Pr 0.750 0.383 0.840 1
U1 U 0.250 0.062 0.594 1
U2 U 0.750 0.938 0.406 1
N1 N 0.250 0.791 0.421 1
N2 N 0.750 0.898 0.157 1
N3 N 0.750 0.380 0.116 1
N4 N 0.750 0.209 0.579 1
N5 N 0.250 0.620 0.884 1
N6 N 0.250 0.102 0.843 1
```

***

Below is a relaxed Er2ScIr crystal, with properties calculated at the PBE level.

**Space group**: R-3m
**E_form**: -0.20 eV per formula unit
**Energy relative to the lowest polymorph listed for this composition**: 0.520 eV per atom

The structure in CIF format:
```
data_Er2ScIr
_chemical_formula_sum 'Er2 Sc1 Ir1'
_symmetry_space_group_name_H-M 'P 1'
_symmetry_Int_Tables_number 1
_cell_length_a 3.580
_cell_length_b 3.580
_cell_length_c 10.407
_cell_angle_alpha 80.10
_cell_angle_beta 80.10
_cell_angle_gamma 60.00
loop_
_symmetry_equiv_pos_as_xyz
'x,y,z'
loop_
_atom_site_label
_atom_site_type_symbol
_atom_site_fract_x
_atom_site_fract_y
_atom_site_fract_z
_atom_site_occupancy
Sc1 Sc 0.000 0.000 0.000 1
Ir1 Ir 0.500 0.500 0.500 1
Er1 Er 0.109 0.109 0.674 1
Er2 Er 0.891 0.891 0.326 1
```

***

Below is a relaxed Tm3Cu2Ir crystal, with properties calculated at the PBE level.

**Space group**: P4/mmm
**E_form**: -3.04 eV per formula unit
**Energy relative to the lowest polymorph listed for this composition**: 0.037 eV per atom

The structure in CIF format:
```
data_Tm3Cu2Ir
_chemical_formula_sum 'Tm3 Cu2 Ir1'
_symmetry_space_group_name_H-M 'P 1'
_symmetry_Int_Tables_number 1
_cell_length_a 3.418
_cell_length_b 3.418
_cell_length_c 10.231
_cell_angle_alpha 90.00
_cell_angle_beta 90.00
_cell_angle_gamma 90.00
loop_
_symmetry_equiv_pos_as_xyz
'x,y,z'
loop_
_atom_site_label
_atom_site_type_symbol
_atom_site_fract_x
_atom_site_fract_y
_atom_site_fract_z
_atom_site_occupancy
Tm1 Tm 0.000 0.000 0.000 1
Tm2 Tm 0.000 0.000 0.660 1
Tm3 Tm 0.000 0.000 0.340 1
Cu1 Cu 0.500 0.500 0.834 1
Cu2 Cu 0.500 0.500 0.166 1
Ir1 Ir 0.500 0.500 0.500 1
```

***

Below is a relaxed CaFeMo2 crystal, with properties calculated at the PBE level.

**Space group**: P4/mmm
**E_form**: 2.34 eV per formula unit
**Energy relative to the lowest polymorph listed for this composition**: 0.066 eV per atom

The structure in CIF format:
```
data_CaFeMo2
_chemical_formula_sum 'Ca1 Fe1 Mo2'
_symmetry_space_group_name_H-M 'P 1'
_symmetry_Int_Tables_number 1
_cell_length_a 3.322
_cell_length_b 3.322
_cell_length_c 7.017
_cell_angle_alpha 90.00
_cell_angle_beta 90.00
_cell_angle_gamma 90.00
loop_
_symmetry_equiv_pos_as_xyz
'x,y,z'
loop_
_atom_site_label
_atom_site_type_symbol
_atom_site_fract_x
_atom_site_fract_y
_atom_site_fract_z
_atom_site_occupancy
Mo1 Mo 0.000 0.000 0.914 1
Mo2 Mo 0.000 0.000 0.586 1
Ca1 Ca 0.500 0.500 0.250 1
Fe1 Fe 0.500 0.500 0.750 1
```

***

Below is a relaxed NaPm2Cd crystal, with properties calculated at the PBE level.

**Space group**: Fm-3m
**E_form**: 0.03 eV per formula unit
**Energy relative to the lowest polymorph listed for this composition**: 0.019 eV per atom

The structure in CIF format:
```
data_NaPm2Cd
_chemical_formula_sum 'Na1 Pm2 Cd1'
_symmetry_space_group_name_H-M 'P 1'
_symmetry_Int_Tables_number 1
_cell_length_a 5.516
_cell_length_b 5.516
_cell_length_c 5.516
_cell_angle_alpha 60.00
_cell_angle_beta 60.00
_cell_angle_gamma 60.00
loop_
_symmetry_equiv_pos_as_xyz
'x,y,z'
loop_
_atom_site_label
_atom_site_type_symbol
_atom_site_fract_x
_atom_site_fract_y
_atom_site_fract_z
_atom_site_occupancy
Na1 Na 0.000 0.000 0.000 1
Cd1 Cd 0.500 0.500 0.500 1
Pm1 Pm 0.250 0.250 0.250 1
Pm2 Pm 0.750 0.750 0.750 1
```

***

no.,raw total energy (eV for the cell shown)
1,-34.664
2,-40.492
3,-124.387
4,-43.647
5,-56.769
6,-104.333
7,-24.520
8,-33.503
9,-29.786
10,-11.702